1.
# MgCd | the Open Quantum Materials Database | PBE | relaxed
data_MgCd
_cell_length_a 4.558
_cell_length_b 4.558
_cell_length_c 4.558
_cell_angle_alpha 60.00
_cell_angle_beta 60.00
_cell_angle_gamma 60.00
_symmetry_space_group_name_H-M 'P 1'
_symmetry_Int_Tables_number 1
loop_
_symmetry_equiv_pos_as_xyz
'x,y,z'
loop_
_atom_site_label
_atom_site_fract_x
_atom_site_fract_y
_atom_site_fract_z
Mg1 0.000 0.000 0.000
Cd1 0.250 0.250 0.250
# total energy: -0.762 eV per atom

2.
# Mg3Cd5 | the Open Quantum Materials Database | PBE | relaxed
data_Mg3Cd5
_cell_length_a 8.171
_cell_length_b 8.171
_cell_length_c 8.171
_cell_angle_alpha 135.63
_cell_angle_beta 82.84
_cell_angle_gamma 114.20
_symmetry_space_group_name_H-M 'P 1'
_symmetry_Int_Tables_number 1
loop_
_symmetry_equiv_pos_as_xyz
'x,y,z'
loop_
_atom_site_label
_atom_site_fract_x
_atom_site_fract_y
_atom_site_fract_z
Mg1 0.130 0.740 0.870
Mg2 0.250 0.250 0.000
Mg3 0.370 0.240 0.609
Mg4 0.630 0.760 0.391
Mg5 0.750 0.750 0.000
Mg6 0.870 0.260 0.130
Cd1 0.001 0.250 0.751
Cd2 0.118 0.237 0.355
Cd3 0.250 0.750 0.500
Cd4 0.382 0.737 0.119
Cd5 0.499 0.250 0.249
Cd6 0.501 0.750 0.751
Cd7 0.618 0.263 0.881
Cd8 0.750 0.250 0.500
Cd9 0.882 0.763 0.645
Cd10 0.999 0.750 0.249
# total energy: -1.209 eV per atom

3.
# Mg2Cd | the Open Quantum Materials Database | PBE | relaxed
data_Mg2Cd
_cell_length_a 5.086
_cell_length_b 9.429
_cell_length_c 5.353
_cell_angle_alpha 90.00
_cell_angle_beta 90.00
_cell_angle_gamma 90.00
_symmetry_space_group_name_H-M 'P 1'
_symmetry_Int_Tables_number 1
loop_
_symmetry_equiv_pos_as_xyz
'x,y,z'
loop_
_atom_site_label
_atom_site_fract_x
_atom_site_fract_y
_atom_site_fract_z
Mg1 0.250 0.081 0.089
Mg2 0.250 0.250 0.589
Mg3 0.250 0.419 0.089
Mg4 0.250 0.750 0.077
Mg5 0.750 0.250 0.923
Mg6 0.750 0.581 0.911
Mg7 0.750 0.750 0.411
Mg8 0.750 0.919 0.911
Cd1 0.250 0.583 0.589
Cd2 0.250 0.917 0.589
Cd3 0.750 0.083 0.411
Cd4 0.750 0.417 0.411
# total energy: -1.395 eV per atom

4.
# MgCd | the Open Quantum Materials Database | PBE | relaxed
data_MgCd
_cell_length_a 5.073
_cell_length_b 9.239
_cell_length_c 5.395
_cell_angle_alpha 90.00
_cell_angle_beta 90.00
_cell_angle_gamma 90.00
_symmetry_space_group_name_H-M 'P 1'
_symmetry_Int_Tables_number 1
loop_
_symmetry_equiv_pos_as_xyz
'x,y,z'
loop_
_atom_site_label
_atom_site_fract_x
_atom_site_fract_y
_atom_site_fract_z
Mg1 0.000 0.079 0.000
Mg2 0.000 0.256 0.480
Mg3 0.000 0.744 0.980
Mg4 0.000 0.921 0.500
Mg5 0.500 0.249 0.827
Mg6 0.500 0.751 0.327
Cd1 0.000 0.409 0.973
Cd2 0.000 0.591 0.473
Cd3 0.500 0.083 0.337
Cd4 0.500 0.416 0.319
Cd5 0.500 0.584 0.819
Cd6 0.500 0.917 0.837
# total energy: -1.298 eV per atom

5.
# Mg6Cd5 | the Open Quantum Materials Database | PBE | relaxed
data_Mg6Cd5
_cell_length_a 11.231
_cell_length_b 11.231
_cell_length_c 11.231
_cell_angle_alpha 136.59
_cell_angle_beta 53.32
_cell_angle_gamma 150.56
_symmetry_space_group_name_H-M 'P 1'
_symmetry_Int_Tables_number 1
loop_
_symmetry_equiv_pos_as_xyz
'x,y,z'
loop_
_atom_site_label
_atom_site_fract_x
_atom_site_fract_y
_atom_site_fract_z
Mg1 0.069 0.250 0.819
Mg2 0.081 0.249 0.330
Mg3 0.149 0.612 0.761
Mg4 0.351 0.112 0.463
Mg5 0.419 0.749 0.168
Mg6 0.431 0.250 0.181
Mg7 0.569 0.750 0.819
Mg8 0.581 0.251 0.832
Mg9 0.649 0.888 0.537
Mg10 0.851 0.388 0.239
Mg11 0.919 0.751 0.670
Mg12 0.931 0.750 0.181
Cd1 0.056 0.884 0.940
Cd2 0.220 0.301 0.521
Cd3 0.250 0.750 0.500
Cd4 0.280 0.801 0.080
Cd5 0.444 0.384 0.829
Cd6 0.556 0.616 0.171
Cd7 0.720 0.199 0.920
Cd8 0.750 0.250 0.500
Cd9 0.780 0.699 0.479
Cd10 0.944 0.116 0.060
# total energy: -1.306 eV per atom

6.
# Mg2Cd | the Open Quantum Materials Database | PBE | relaxed
data_Mg2Cd
_cell_length_a 8.897
_cell_length_b 8.897
_cell_length_c 8.897
_cell_angle_alpha 60.00
_cell_angle_beta 60.00
_cell_angle_gamma 60.00
_symmetry_space_group_name_H-M 'P 1'
_symmetry_Int_Tables_number 1
loop_
_symmetry_equiv_pos_as_xyz
'x,y,z'
loop_
_atom_site_label
_atom_site_fract_x
_atom_site_fract_y
_atom_site_fract_z
Mg1 0.000 0.000 0.000
Mg2 0.000 0.000 0.500
Mg3 0.000 0.500 0.000
Mg4 0.500 0.000 0.000
Cd1 0.125 0.125 0.125
Cd2 0.875 0.875 0.875
# total energy: -0.554 eV per atom

7.
# MgCd | the Open Quantum Materials Database | PBE | relaxed
data_MgCd
_cell_length_a 5.054
_cell_length_b 6.227
_cell_length_c 10.773
_cell_angle_alpha 90.00
_cell_angle_beta 90.00
_cell_angle_gamma 90.00
_symmetry_space_group_name_H-M 'P 1'
_symmetry_Int_Tables_number 1
loop_
_symmetry_equiv_pos_as_xyz
'x,y,z'
loop_
_atom_site_label
_atom_site_fract_x
_atom_site_fract_y
_atom_site_fract_z
Mg1 0.250 0.003 0.083
Mg2 0.250 0.250 0.333
Mg3 0.250 0.250 0.827
Mg4 0.250 0.497 0.083
Mg5 0.750 0.503 0.917
Mg6 0.750 0.750 0.173
Mg7 0.750 0.750 0.667
Mg8 0.750 0.997 0.917
Cd1 0.250 0.502 0.584
Cd2 0.250 0.750 0.328
Cd3 0.250 0.750 0.842
Cd4 0.250 0.998 0.584
Cd5 0.750 0.002 0.416
Cd6 0.750 0.250 0.158
Cd7 0.750 0.250 0.672
Cd8 0.750 0.498 0.416
# total energy: -1.292 eV per atom

8.
# MgCd | the Open Quantum Materials Database | PBE | relaxed
data_MgCd
_cell_length_a 3.178
_cell_length_b 5.113
_cell_length_c 5.234
_cell_angle_alpha 90.00
_cell_angle_beta 90.00
_cell_angle_gamma 90.00
_symmetry_space_group_name_H-M 'P 1'
_symmetry_Int_Tables_number 1
loop_
_symmetry_equiv_pos_as_xyz
'x,y,z'
loop_
_atom_site_label
_atom_site_fract_x
_atom_site_fract_y
_atom_site_fract_z
Mg1 0.250 0.250 0.092
Mg2 0.750 0.750 0.908
Cd1 0.250 0.750 0.399
Cd2 0.750 0.250 0.601
# total energy: -1.293 eV per atom